(1)
VASP calculation (PBE-GGA) on a geometry-optimized LiAc3Ir structure.

Structure (POSCAR):
```
LiAc3Ir
1.0
6.729 -3.024 0.000
6.729 3.024 0.000
-3.526 0.000 9.178
Li Ac Ir
2 6 2
Cartesian
-0.411 0.000 4.050
10.343 0.000 5.129
-1.457 0.000 8.486
3.394 0.000 3.246
2.577 0.000 7.209
7.356 0.000 1.969
6.538 0.000 5.932
11.390 0.000 0.693
4.732 0.000 0.685
5.200 0.000 8.494
```

Its magnetization is 0.000 μB per atom. As for the formation energy: -0.299 eV/atom. As for the density of states at the Fermi level: 1.103 states/eV/atom. Its crystal system is monoclinic. The calculated volume is 37.35 Å³ per atom. The offset from the most stable computed form comes out at 0.0 meV per atom.

=====

(2)
VASP calculation (PBE-GGA) on a geometry-optimized Li4AcIr structure.

Structure (POSCAR):
```
Li4AcIr
1.0
0.000 3.782 3.782
3.782 0.000 3.782
3.782 3.782 0.000
Li Ac Ir
4 1 1
Cartesian
2.874 2.874 2.874
4.690 4.690 2.874
4.690 2.874 4.690
2.874 4.690 4.690
0.000 0.000 0.000
5.673 5.673 5.673
```

Its magnetization is 0.000 μB per atom. As for the formation energy: 0.017 eV/atom. As for the density of states at the Fermi level: 0.883 states/eV/atom. Its crystal system is cubic. The calculated volume is 18.03 Å³ per atom.

=====

(3)
VASP calculation (PBE-GGA) on a geometry-optimized Li2Ac3Ir3 structure.

Structure (POSCAR):
```
Li2Ac3Ir3
1.0
8.795 0.000 0.000
-4.398 7.617 0.000
0.000 0.000 6.055
Li Ac Ir
4 6 6
Cartesian
0.000 5.078 0.000
0.000 5.078 3.027
4.398 2.539 0.000
4.398 2.539 3.027
-1.309 2.268 1.514
-3.088 5.349 4.541
2.619 0.000 1.514
1.309 2.268 4.541
6.177 0.000 4.541
3.088 5.349 1.514
-1.609 2.787 4.541
-2.789 4.830 1.514
3.218 0.000 4.541
1.609 2.787 1.514
5.578 0.000 1.514
2.789 4.830 4.541
```

Its magnetization is 0.000 μB per atom. As for the formation energy: -0.372 eV/atom. As for the density of states at the Fermi level: 0.598 states/eV/atom. Its crystal system is hexagonal. The calculated volume is 25.35 Å³ per atom.

=====

(4)
VASP calculation (PBE-GGA) on a geometry-optimized LiAcLuIr structure.

Structure (POSCAR):
```
LiAcLuIr
1.0
0.000 3.612 3.612
3.612 0.000 3.612
3.612 3.612 0.000
Li Ac Lu Ir
1 1 1 1
Cartesian
0.000 0.000 0.000
1.806 1.806 1.806
5.418 5.418 5.418
3.612 3.612 3.612
```

Its magnetization is 0.000 μB per atom. As for the formation energy: -0.388 eV/atom. As for the density of states at the Fermi level: 0.744 states/eV/atom. Its crystal system is cubic. The calculated volume is 23.56 Å³ per atom.

=====

(5)
VASP calculation (PBE-GGA) on a geometry-optimized Li2AcIrN2 structure.

Structure (POSCAR):
```
Li2AcIrN2
1.0
5.307 0.000 0.000
0.000 9.052 0.000
0.000 0.000 3.832
Li Ac Ir N
4 2 2 4
Cartesian
0.193 1.884 0.000
2.461 6.410 1.916
2.847 2.641 1.916
5.114 7.167 0.000
0.000 4.526 1.916
2.654 0.000 0.000
0.000 0.000 1.916
2.654 4.526 0.000
1.318 1.398 1.916
1.336 5.924 0.000
3.971 3.127 0.000
3.990 7.653 1.916
```

Its magnetization is 0.126 μB per atom. As for the density of states at the Fermi level: 0.694 states/eV/atom. Its crystal system is orthorhombic. The calculated volume is 15.34 Å³ per atom. Its uncorrected formation energy is -0.4720 eV/atom.

=====

(6)
VASP calculation (PBE-GGA) on a geometry-optimized LiAcNdIr structure.

Structure (POSCAR):
```
LiAcNdIr
1.0
0.000 3.699 3.699
3.699 0.000 3.699
3.699 3.699 0.000
Li Ac Nd Ir
1 1 1 1
Cartesian
0.000 0.000 0.000
5.549 5.549 5.549
1.850 1.850 1.850
3.699 3.699 3.699
```

Its magnetization is 0.000 μB per atom. As for the formation energy: -0.313 eV/atom. As for the density of states at the Fermi level: 0.935 states/eV/atom. Its crystal system is cubic. The calculated volume is 25.31 Å³ per atom.

=====

(7)
VASP calculation (PBE-GGA) on a geometry-optimized LiAc2NiIr2 structure.

Structure (POSCAR):
```
LiAc2NiIr2
1.0
-3.022 7.235 2.968
3.022 -7.235 2.968
3.022 7.235 -2.968
Li Ac Ni Ir
2 4 2 4
Cartesian
0.000 0.000 1.484
0.000 0.000 4.452
1.489 2.337 0.000
1.489 -2.337 2.968
1.533 9.571 0.000
1.533 4.898 2.968
3.022 0.000 1.484
0.000 7.235 1.484
4.457 1.616 0.000
1.435 5.619 0.000
1.587 1.616 2.968
-1.435 5.619 2.968
```

Its magnetization is 0.000 μB per atom. As for the formation energy: -0.356 eV/atom. As for the density of states at the Fermi level: 0.894 states/eV/atom. Its crystal system is orthorhombic. The calculated volume is 21.63 Å³ per atom.

=====

(8)
VASP calculation (PBE-GGA) on a geometry-optimized Li2AcIr2O7 structure.

Structure (POSCAR):
```
Li2AcIr2O7
1.0
-1.968 1.968 9.336
1.968 -1.968 9.336
1.968 1.968 -9.336
Li Ac Ir O
2 1 2 7
Cartesian
1.968 0.000 4.668
0.000 1.968 4.668
0.000 0.000 0.000
0.000 0.000 7.182
0.000 0.000 11.490
1.968 0.000 1.869
0.000 0.000 5.245
1.968 0.000 7.468
0.000 0.000 9.336
0.000 1.968 1.869
0.000 0.000 13.427
0.000 1.968 7.468
```

Its magnetization is 0.107 μB per atom. As for the density of states at the Fermi level: 0.834 states/eV/atom. Its crystal system is tetragonal. The calculated volume is 12.05 Å³ per atom. Its uncorrected formation energy is -1.5348 eV/atom.

=====

(9)
VASP calculation (PBE-GGA) on a geometry-optimized LiAc2IrO6 structure.

Structure (POSCAR):
```
LiAc2IrO6
1.0
4.933 -2.818 0.000
4.933 2.818 0.000
-3.365 0.000 4.695
Li Ac Ir O
1 2 1 6
Cartesian
0.000 0.000 0.000
-0.039 0.000 3.503
6.541 0.000 1.191
3.251 0.000 2.347
2.194 1.383 3.311
1.903 0.000 0.887
4.308 1.383 1.384
2.194 -1.383 3.311
4.599 0.000 3.808
4.308 -1.383 1.384
```

Its magnetization is 0.204 μB per atom. As for the density of states at the Fermi level: 0.347 states/eV/atom. Its crystal system is monoclinic. The calculated volume is 13.05 Å³ per atom. Its uncorrected formation energy is -2.3319 eV/atom.

=====

(10)
VASP calculation (PBE-GGA) on a geometry-optimized LiAcIrO5 structure.

Structure (POSCAR):
```
LiAcIrO5
1.0
3.207 -4.750 0.000
3.207 4.750 0.000
-2.103 0.000 6.864
Li Ac Ir O
2 2 2 10
Cartesian
1.630 2.980 5.148
2.682 -2.980 1.716
2.682 3.325 1.716
1.630 -3.325 5.148
3.207 0.000 0.000
2.156 0.000 3.432
0.299 0.558 3.097
0.644 1.779 6.229
-0.752 -0.558 6.529
2.616 1.779 4.067
2.682 0.715 1.716
1.630 -0.715 5.148
1.696 -1.779 2.797
5.064 0.558 0.335
3.667 -1.779 0.635
4.012 -0.558 3.767
```

Its magnetization is 0.151 μB per atom. As for the density of states at the Fermi level: 0.745 states/eV/atom. Its crystal system is monoclinic. The calculated volume is 13.07 Å³ per atom. Its uncorrected formation energy is -1.8035 eV/atom.

=====

(11)
VASP calculation (PBE-GGA) on a geometry-optimized Li2AcIrO4 structure.

Structure (POSCAR):
```
Li2AcIrO4
1.0
-2.555 2.560 3.910
2.555 -2.560 3.910
2.555 2.560 -3.910
Li Ac Ir O
2 1 1 4
Cartesian
0.000 0.000 1.951
0.000 0.000 5.868
0.000 2.560 0.000
2.555 0.000 0.000
3.477 -0.928 1.489
1.633 0.928 1.489
-0.922 1.632 2.421
0.922 3.489 2.421
```

Its magnetization is 0.000 μB per atom. Its crystal system is orthorhombic. The calculated volume is 12.79 Å³ per atom. Its uncorrected formation energy is -1.6267 eV/atom.

=====

(12)
VASP calculation (PBE-GGA) on a geometry-optimized LiAc2Ir3O12 structure.

Structure (POSCAR):
```
LiAc2Ir3O12
1.0
3.603 2.080 5.341
-3.603 2.080 5.341
0.000 -4.160 5.341
Li Ac Ir O
1 2 3 12
Cartesian
0.000 0.000 0.000
0.000 0.000 6.213
0.000 0.000 9.811
-3.603 0.000 8.012
-1.801 1.040 2.671
1.801 1.040 2.671
-2.032 -1.173 8.284
0.000 -1.757 4.531
-1.522 0.879 4.531
0.000 -2.346 7.740
-2.032 1.173 7.740
-1.522 -0.879 11.493
1.522 0.879 4.531
2.032 -1.173 8.284
0.000 2.346 8.284
1.522 -0.879 11.493
0.000 1.757 11.493
2.032 1.173 7.740
```

Its magnetization is 0.207 μB per atom. As for the density of states at the Fermi level: 0.481 states/eV/atom. Its crystal system is trigonal. The calculated volume is 13.34 Å³ per atom. Its uncorrected formation energy is -1.4600 eV/atom.

=====

(13)
VASP calculation (PBE-GGA) on a geometry-optimized LiAcIr2O8 structure.

Structure (POSCAR):
```
LiAcIr2O8
1.0
2.557 1.476 6.729
-2.557 1.476 6.729
0.000 -2.952 6.729
Li Ac Ir O
1 1 2 8
Cartesian
0.000 0.000 0.000
0.000 0.000 10.094
0.000 0.000 5.599
0.000 0.000 14.590
-0.739 -1.325 7.840
0.000 0.000 3.687
-1.517 -0.022 12.349
-0.778 1.303 7.840
0.778 -1.303 12.349
1.517 0.022 7.840
0.000 0.000 16.501
0.739 1.325 12.349
```

Its magnetization is 0.000 μB per atom. As for the density of states at the Fermi level: 0.594 states/eV/atom. Its crystal system is trigonal. The calculated volume is 12.70 Å³ per atom. Its uncorrected formation energy is -1.1784 eV/atom.

=====

(14)
VASP calculation (PBE-GGA) on a geometry-optimized LiAc3Ir2O9 structure.

Structure (POSCAR):
```
LiAc3Ir2O9
1.0
5.682 0.000 0.000
-2.841 4.921 0.000
0.000 0.000 6.993
Li Ac Ir O
1 3 2 9
Cartesian
0.000 0.000 0.000
0.000 0.000 3.496
0.000 3.280 1.040
2.841 1.640 5.953
0.000 3.280 4.677
2.841 1.640 2.316
-1.420 2.460 3.496
0.000 1.672 5.825
-1.393 4.085 5.825
1.448 0.836 1.168
2.841 0.000 3.496
1.420 2.460 3.496
1.393 4.085 5.825
4.234 0.836 1.168
2.841 3.249 1.168
```

Its magnetization is 0.139 μB per atom. As for the density of states at the Fermi level: 0.470 states/eV/atom. Its crystal system is trigonal. The calculated volume is 13.03 Å³ per atom. Its uncorrected formation energy is -2.1672 eV/atom.

=====

(15)
VASP calculation (PBE-GGA) on a geometry-optimized LiAcIrO6 structure.

Structure (POSCAR):
```
LiAcIrO6
1.0
5.924 0.000 0.000
-2.962 5.130 0.000
0.000 0.000 7.710
Li Ac Ir O
2 2 2 12
Cartesian
0.000 0.000 0.000
0.000 0.000 3.855
0.000 3.420 1.928
2.962 1.710 5.783
0.000 3.420 5.783
2.962 1.710 1.928
-0.686 2.007 4.710
-1.567 3.532 6.855
0.686 2.007 6.855
-0.881 4.721 4.710
2.081 0.409 0.855
1.395 1.598 3.000
1.567 3.532 4.710
0.881 4.721 6.855
3.843 0.409 3.000
2.275 3.123 0.855
4.529 1.598 0.855
3.648 3.123 3.000
```

Its magnetization is 0.000 μB per atom. As for the density of states at the Fermi level: 0.576 states/eV/atom. Its crystal system is trigonal. The calculated volume is 13.02 Å³ per atom. Its uncorrected formation energy is -1.4512 eV/atom.

=====

(16)
VASP calculation (PBE-GGA) on a geometry-optimized Li2Ac2IrO6 structure.

Structure (POSCAR):
```
Li2Ac2IrO6
1.0
2.855 1.648 5.046
-2.855 1.648 5.046
0.000 -3.297 5.046
Li Ac Ir O
2 2 1 6
Cartesian
0.000 0.000 1.066
0.000 0.000 14.071
0.000 0.000 4.142
0.000 0.000 10.996
0.000 0.000 7.569
0.000 -1.532 6.248
-1.327 0.766 6.248
-1.327 -0.766 8.889
1.327 0.766 6.248
1.327 -0.766 8.889
0.000 1.532 8.889
```

Its magnetization is 0.095 μB per atom. As for the density of states at the Fermi level: 0.516 states/eV/atom. Its crystal system is trigonal. The calculated volume is 12.95 Å³ per atom. Its uncorrected formation energy is -2.1337 eV/atom.

=====

(17)
VASP calculation (PBE-GGA) on a geometry-optimized Li3Ac3IrO8 structure.

Structure (POSCAR):
```
Li3Ac3IrO8
1.0
3.641 2.102 4.889
-3.641 2.102 4.889
0.000 -4.205 4.889
Li Ac Ir O
3 3 1 8
Cartesian
-1.821 -1.051 4.889
-1.821 1.051 9.777
0.000 2.102 4.889
-3.641 0.000 7.333
-1.821 1.051 2.444
1.821 1.051 2.444
0.000 0.000 7.333
0.000 0.000 3.614
0.000 -1.767 6.173
-1.530 0.883 6.173
-1.530 -0.883 8.493
1.530 0.883 6.173
1.530 -0.883 8.493
0.000 1.767 8.493
0.000 0.000 11.052
```

Its magnetization is 0.071 μB per atom. As for the density of states at the Fermi level: 0.498 states/eV/atom. Its crystal system is trigonal. The calculated volume is 14.97 Å³ per atom. Its uncorrected formation energy is -2.1390 eV/atom.

=====

(18)
VASP calculation (PBE-GGA) on a geometry-optimized LiAc2IrO8 structure.

Structure (POSCAR):
```
LiAc2IrO8
1.0
4.657 0.000 0.000
0.914 5.140 0.000
0.002 0.025 7.850
Li Ac Ir O
1 2 1 8
Cartesian
0.000 0.000 0.000
2.779 2.587 5.959
2.794 2.577 1.891
0.001 0.012 3.925
0.626 1.162 5.284
0.625 1.170 2.570
2.096 3.784 7.849
2.525 4.179 3.923
3.048 0.985 3.927
3.477 1.381 0.001
4.948 3.995 5.280
4.947 4.002 2.566
```

Its magnetization is 0.000 μB per atom. As for the density of states at the Fermi level: 0.514 states/eV/atom. Its crystal system is triclinic. The calculated volume is 15.66 Å³ per atom. Its uncorrected formation energy is -1.7196 eV/atom.

=====

(19)
VASP calculation (PBE-GGA) on a geometry-optimized Li4AcIr3O12 structure.

Structure (POSCAR):
```
Li4AcIr3O12
1.0
-3.835 3.835 3.835
3.835 -3.835 3.835
3.835 3.835 -3.835
Li Ac Ir O
4 1 3 12
Cartesian
1.917 1.917 -1.917
1.917 -1.917 1.917
-1.917 1.917 1.917
1.917 1.917 1.917
0.000 0.000 0.000
3.835 0.000 0.000
0.000 3.835 0.000
0.000 0.000 3.835
3.835 2.557 -1.361
2.473 0.000 1.278
5.196 0.000 1.278
1.278 2.473 0.000
2.557 -1.361 3.835
0.000 1.278 2.473
3.835 2.557 1.361
1.278 5.196 0.000
2.557 1.361 3.835
-1.361 3.835 2.557
1.361 3.835 2.557
0.000 1.278 5.196
```

Its magnetization is 0.273 μB per atom. As for the density of states at the Fermi level: 0.596 states/eV/atom. Its crystal system is cubic. The calculated volume is 11.28 Å³ per atom. Its uncorrected formation energy is -1.2026 eV/atom.

=====

(20)
VASP calculation (PBE-GGA) on a geometry-optimized Li2Ac3IrO9 structure.

Structure (POSCAR):
```
Li2Ac3IrO9
1.0
5.608 0.000 0.000
-2.804 4.857 0.000
0.000 0.000 7.002
Li Ac Ir O
2 3 1 9
Cartesian
0.000 3.238 1.221
2.804 1.619 5.781
0.000 0.000 0.000
0.000 3.238 4.993
2.804 1.619 2.009
0.000 0.000 3.501
-1.402 2.428 0.000
0.000 1.558 2.352
-1.455 4.078 2.352
1.349 0.779 4.650
2.804 0.000 0.000
1.402 2.428 0.000
1.455 4.078 2.352
4.259 0.779 4.650
2.804 3.299 4.650
```

Its magnetization is 0.233 μB per atom. As for the density of states at the Fermi level: 0.481 states/eV/atom. Its crystal system is trigonal. The calculated volume is 12.71 Å³ per atom. Its uncorrected formation energy is -2.2508 eV/atom.